(1)
Here is an optimized crystal structure of Zr2Cu2Hg from Alexandria via LeMat-Bulk. Energies are from PBE-GGA.

Values from the calculation:
The value obtained for the total energy is -4.913 eV per atom. The calculation puts the formation enthalpy at 0 K at 0.2053 eV per atom. As for the density of states at the Fermi level: 4.85 states/eV per cell. As for the crystal system: tetragonal.

Geometry as CIF:
```
data_Zr2Cu2Hg
_symmetry_space_group_name_H-M 'P 1'
_symmetry_Int_Tables_number 1
_cell_length_a 4.291
_cell_length_b 4.291
_cell_length_c 6.230
_cell_angle_alpha 69.86
_cell_angle_beta 69.86
_cell_angle_gamma 90.00
loop_
_symmetry_equiv_pos_as_xyz
'x,y,z'
loop_
_atom_site_label
_atom_site_type_symbol
_atom_site_fract_x
_atom_site_fract_y
_atom_site_fract_z
Hg1 Hg 0.000 0.000 0.000
Cu1 Cu 0.603 0.603 0.794
Zr1 Zr 0.750 0.250 0.500
Cu2 Cu 0.397 0.397 0.206
Zr2 Zr 0.250 0.750 0.500
```

---

(2)
Here is an optimized crystal structure of ZrCuHg from Alexandria via LeMat-Bulk. Energies are from PBE-GGA.

Values from the calculation:
The value obtained for the total energy is -3.912 eV per atom. The polymorph energy (0 for the lowest one) is 0.536 eV per atom. The calculation puts the formation enthalpy at 0 K at 0.4032 eV per atom. As for the density of states at the Fermi level: 2.64 states/eV per cell. As for the crystal system: cubic.

Geometry as CIF:
```
data_ZrCuHg
_symmetry_space_group_name_H-M 'P 1'
_symmetry_Int_Tables_number 1
_cell_length_a 4.587
_cell_length_b 4.587
_cell_length_c 4.587
_cell_angle_alpha 60.00
_cell_angle_beta 60.00
_cell_angle_gamma 60.00
loop_
_symmetry_equiv_pos_as_xyz
'x,y,z'
loop_
_atom_site_label
_atom_site_type_symbol
_atom_site_fract_x
_atom_site_fract_y
_atom_site_fract_z
Hg1 Hg 0.500 0.500 0.500
Cu1 Cu 0.000 0.000 0.000
Zr1 Zr 0.750 0.750 0.750
```

---

(3)
Here is an optimized crystal structure of ZrCuHg2 from Alexandria via LeMat-Bulk. Energies are from PBE-GGA.

Values from the calculation:
The value obtained for the total energy is -3.267 eV per atom. The polymorph energy (0 for the lowest one) is 0.123 eV per atom. The calculation puts the formation enthalpy at 0 K at 0.0452 eV per atom. As for the density of states at the Fermi level: 2.19 states/eV per cell. As for the crystal system: cubic.

Geometry as CIF:
```
data_ZrCuHg2
_symmetry_space_group_name_H-M 'P 1'
_symmetry_Int_Tables_number 1
_cell_length_a 4.780
_cell_length_b 4.780
_cell_length_c 4.780
_cell_angle_alpha 60.00
_cell_angle_beta 60.00
_cell_angle_gamma 60.00
loop_
_symmetry_equiv_pos_as_xyz
'x,y,z'
loop_
_atom_site_label
_atom_site_type_symbol
_atom_site_fract_x
_atom_site_fract_y
_atom_site_fract_z
Hg1 Hg 0.250 0.250 0.250
Zr1 Zr 0.750 0.750 0.750
Hg2 Hg 0.000 0.000 0.000
Cu1 Cu 0.500 0.500 0.500
```

---

(4)
Here is an optimized crystal structure of ZrCuHg2 from Alexandria via LeMat-Bulk. Energies are from PBE-GGA.

Values from the calculation:
The value obtained for the total energy is -3.287 eV per atom. The polymorph energy (0 for the lowest one) is 0.103 eV per atom. The calculation puts the formation enthalpy at 0 K at 0.0247 eV per atom. As for the density of states at the Fermi level: 2.03 states/eV per cell. As for the crystal system: monoclinic.

Geometry as CIF:
```
data_ZrCuHg2
_symmetry_space_group_name_H-M 'P 1'
_symmetry_Int_Tables_number 1
_cell_length_a 4.615
_cell_length_b 2.998
_cell_length_c 5.853
_cell_angle_alpha 91.99
_cell_angle_beta 90.00
_cell_angle_gamma 90.00
loop_
_symmetry_equiv_pos_as_xyz
'x,y,z'
loop_
_atom_site_label
_atom_site_type_symbol
_atom_site_fract_x
_atom_site_fract_y
_atom_site_fract_z
Hg1 Hg 0.000 0.018 0.978
Cu1 Cu 0.500 0.013 0.733
Hg2 Hg 0.500 0.976 0.274
Zr1 Zr 0.000 0.493 0.515
```

---

(5)
Here is an optimized crystal structure of ZrCuHg from Alexandria via LeMat-Bulk. Energies are from PBE-GGA.

Values from the calculation:
The value obtained for the total energy is -4.293 eV per atom. The polymorph energy (0 for the lowest one) is 0.155 eV per atom. The calculation puts the formation enthalpy at 0 K at 0.0227 eV per atom. As for the density of states at the Fermi level: 3.96 states/eV per cell. As for the crystal system: cubic.

Geometry as CIF:
```
data_ZrCuHg
_symmetry_space_group_name_H-M 'P 1'
_symmetry_Int_Tables_number 1
_cell_length_a 4.413
_cell_length_b 4.413
_cell_length_c 4.413
_cell_angle_alpha 60.00
_cell_angle_beta 60.00
_cell_angle_gamma 60.00
loop_
_symmetry_equiv_pos_as_xyz
'x,y,z'
loop_
_atom_site_label
_atom_site_type_symbol
_atom_site_fract_x
_atom_site_fract_y
_atom_site_fract_z
Cu1 Cu 0.750 0.750 0.750
Zr1 Zr 0.500 0.500 0.500
Hg1 Hg 0.000 0.000 0.000
```

---

(6)
Here is an optimized crystal structure of ZrCuHg2 from Alexandria via LeMat-Bulk. Energies are from PBE-GGA.

Values from the calculation:
The value obtained for the total energy is -3.211 eV per atom. The polymorph energy (0 for the lowest one) is 0.179 eV per atom. The calculation puts the formation enthalpy at 0 K at 0.1013 eV per atom. As for the density of states at the Fermi level: 2.50 states/eV per cell. As for the crystal system: trigonal.

Geometry as CIF:
```
data_ZrCuHg2
_symmetry_space_group_name_H-M 'P 1'
_symmetry_Int_Tables_number 1
_cell_length_a 8.851
_cell_length_b 8.851
_cell_length_c 8.851
_cell_angle_alpha 21.60
_cell_angle_beta 21.60
_cell_angle_gamma 21.60
loop_
_symmetry_equiv_pos_as_xyz
'x,y,z'
loop_
_atom_site_label
_atom_site_type_symbol
_atom_site_fract_x
_atom_site_fract_y
_atom_site_fract_z
Zr1 Zr 0.250 0.250 0.250
Hg1 Hg 0.491 0.491 0.491
Cu1 Cu 0.750 0.750 0.750
Hg2 Hg 0.009 0.009 0.009
```

---

(7)
Here is an optimized crystal structure of Zr4CuHg from Alexandria via LeMat-Bulk. Energies are from PBE-GGA.

Values from the calculation:
The value obtained for the total energy is -6.578 eV per atom. The polymorph energy (0 for the lowest one) is 0.000 eV per atom. The calculation puts the formation enthalpy at 0 K at -0.1461 eV per atom. As for the density of states at the Fermi level: 5.35 states/eV per cell. As for the crystal system: tetragonal.

Geometry as CIF:
```
data_Zr4CuHg
_symmetry_space_group_name_H-M 'P 1'
_symmetry_Int_Tables_number 1
_cell_length_a 3.204
_cell_length_b 3.204
_cell_length_c 12.302
_cell_angle_alpha 90.00
_cell_angle_beta 90.00
_cell_angle_gamma 90.00
loop_
_symmetry_equiv_pos_as_xyz
'x,y,z'
loop_
_atom_site_label
_atom_site_type_symbol
_atom_site_fract_x
_atom_site_fract_y
_atom_site_fract_z
Zr1 Zr 0.500 0.500 0.821
Cu1 Cu 0.500 0.500 0.500
Zr2 Zr 0.500 0.500 0.179
Hg1 Hg 0.000 0.000 0.000
Zr3 Zr 0.000 0.000 0.642
Zr4 Zr 0.000 0.000 0.358
```

---

(8)
Here is an optimized crystal structure of ZrCuHg2 from Alexandria via LeMat-Bulk. Energies are from PBE-GGA.

Values from the calculation:
The value obtained for the total energy is -3.257 eV per atom. The polymorph energy (0 for the lowest one) is 0.133 eV per atom. The calculation puts the formation enthalpy at 0 K at 0.0545 eV per atom. As for the density of states at the Fermi level: 4.38 states/eV per cell. As for the crystal system: tetragonal.

Geometry as CIF:
```
data_ZrCuHg2
_symmetry_space_group_name_H-M 'P 1'
_symmetry_Int_Tables_number 1
_cell_length_a 4.299
_cell_length_b 4.298
_cell_length_c 4.318
_cell_angle_alpha 90.00
_cell_angle_beta 90.00
_cell_angle_gamma 90.00
loop_
_symmetry_equiv_pos_as_xyz
'x,y,z'
loop_
_atom_site_label
_atom_site_type_symbol
_atom_site_fract_x
_atom_site_fract_y
_atom_site_fract_z
Hg1 Hg 0.500 0.500 0.000
Zr1 Zr 0.500 0.000 0.500
Cu1 Cu 0.000 0.500 0.500
Hg2 Hg 0.000 0.000 0.000
```

---

(9)
Here is an optimized crystal structure of ZrCuHg2 from Alexandria via LeMat-Bulk. Energies are from PBE-GGA.

Values from the calculation:
The value obtained for the total energy is -3.164 eV per atom. The polymorph energy (0 for the lowest one) is 0.226 eV per atom. The calculation puts the formation enthalpy at 0 K at 0.1481 eV per atom. As for the density of states at the Fermi level: 3.79 states/eV per cell. As for the crystal system: orthorhombic.

Geometry as CIF:
```
data_ZrCuHg2
_symmetry_space_group_name_H-M 'P 1'
_symmetry_Int_Tables_number 1
_cell_length_a 5.378
_cell_length_b 5.378
_cell_length_c 2.962
_cell_angle_alpha 90.00
_cell_angle_beta 90.00
_cell_angle_gamma 109.26
loop_
_symmetry_equiv_pos_as_xyz
'x,y,z'
loop_
_atom_site_label
_atom_site_type_symbol
_atom_site_fract_x
_atom_site_fract_y
_atom_site_fract_z
Hg1 Hg 0.000 0.000 0.000
Cu1 Cu 0.000 0.500 0.500
Hg2 Hg 0.500 0.500 0.000
Zr1 Zr 0.500 0.000 0.500
```

---

(10)
Here is an optimized crystal structure of Zr5CuHg from Alexandria via LeMat-Bulk. Energies are from PBE-GGA.

Values from the calculation:
The value obtained for the total energy is -6.540 eV per atom. The calculation puts the formation enthalpy at 0 K at 0.1940 eV per atom. As for the density of states at the Fermi level: 14.35 states/eV per cell. As for the crystal system: monoclinic.

Geometry as CIF:
```
data_Zr5CuHg
_symmetry_space_group_name_H-M 'P 1'
_symmetry_Int_Tables_number 1
_cell_length_a 5.975
_cell_length_b 5.975
_cell_length_c 11.694
_cell_angle_alpha 65.29
_cell_angle_beta 65.29
_cell_angle_gamma 59.57
loop_
_symmetry_equiv_pos_as_xyz
'x,y,z'
loop_
_atom_site_label
_atom_site_type_symbol
_atom_site_fract_x
_atom_site_fract_y
_atom_site_fract_z
Zr1 Zr 0.363 0.123 0.788
Zr2 Zr 0.161 0.839 0.250
Cu1 Cu 0.000 0.000 0.000
Zr3 Zr 0.839 0.161 0.750
Zr4 Zr 0.305 0.324 0.513
Zr5 Zr 0.676 0.695 0.987
Zr6 Zr 0.123 0.363 0.288
Hg1 Hg 0.676 0.324 0.250
Zr7 Zr 0.877 0.637 0.712
Hg2 Hg 0.324 0.676 0.750
Zr8 Zr 0.637 0.877 0.212
Zr9 Zr 0.324 0.305 0.013
Zr10 Zr 0.695 0.676 0.487
Cu2 Cu 0.000 0.000 0.500
```

---

(11)
Here is an optimized crystal structure of ZrCuHg2 from Alexandria via LeMat-Bulk. Energies are from PBE-GGA.

Values from the calculation:
The value obtained for the total energy is -3.251 eV per atom. The polymorph energy (0 for the lowest one) is 0.139 eV per atom. The calculation puts the formation enthalpy at 0 K at 0.0613 eV per atom. As for the density of states at the Fermi level: 2.29 states/eV per cell. As for the crystal system: monoclinic.

Geometry as CIF:
```
data_ZrCuHg2
_symmetry_space_group_name_H-M 'P 1'
_symmetry_Int_Tables_number 1
_cell_length_a 4.382
_cell_length_b 2.995
_cell_length_c 6.184
_cell_angle_alpha 76.29
_cell_angle_beta 90.00
_cell_angle_gamma 90.00
loop_
_symmetry_equiv_pos_as_xyz
'x,y,z'
loop_
_atom_site_label
_atom_site_type_symbol
_atom_site_fract_x
_atom_site_fract_y
_atom_site_fract_z
Zr1 Zr 0.500 0.250 0.250
Hg1 Hg 0.000 0.897 0.985
Cu1 Cu 0.500 0.750 0.750
Hg2 Hg 0.000 0.603 0.515
```

---

(12)
Here is an optimized crystal structure of Zr4CuHg2 from Alexandria via LeMat-Bulk. Energies are from PBE-GGA.

Values from the calculation:
The value obtained for the total energy is -5.219 eV per atom. The calculation puts the formation enthalpy at 0 K at 0.3375 eV per atom. As for the density of states at the Fermi level: 6.57 states/eV per cell. As for the crystal system: tetragonal.

Geometry as CIF:
```
data_Zr4CuHg2
_symmetry_space_group_name_H-M 'P 1'
_symmetry_Int_Tables_number 1
_cell_length_a 4.867
_cell_length_b 4.867
_cell_length_c 7.956
_cell_angle_alpha 72.19
_cell_angle_beta 72.19
_cell_angle_gamma 90.00
loop_
_symmetry_equiv_pos_as_xyz
'x,y,z'
loop_
_atom_site_label
_atom_site_type_symbol
_atom_site_fract_x
_atom_site_fract_y
_atom_site_fract_z
Zr1 Zr 0.819 0.819 0.362
Zr2 Zr 0.181 0.181 0.638
Cu1 Cu 0.000 0.000 0.000
Hg1 Hg 0.376 0.376 0.248
Hg2 Hg 0.624 0.624 0.752
Zr3 Zr 0.000 0.500 0.000
Zr4 Zr 0.500 0.000 0.000
```